Record 1
Below is a relaxed structure of CeSiBRh3, with properties calculated at the GGA-PBEsol level.

The calculation puts the uncorrected formation energy at -0.786 eV/atom. Its density of states at the Fermi level is 0.9038 states/eV/atom.

Cell lengths 5.4704, 5.4704, 3.3657 Å; angles 90.00, 90.00, 120.00 degrees
Closest atoms and distances in Å follow each position.
Space group P-6m2 (No. 187)
Asymmetric unit:
1 Ce 0.0000 0.0000 0.0000 (multiplicity 1)  3 B 3.16, 3 Si 3.16, 12 Rh 3.21, 2 Ce 3.37
2 Si 0.6667 0.3333 0.0000 (multiplicity 1)  6 Rh 2.35
3 B 0.3333 0.6667 0.0000 (multiplicity 1)  6 Rh 2.26
4 Rh 0.0142 0.5071 0.5000 (multiplicity 3)  2 B 2.26, 2 Si 2.35

---

Record 2
Below is a relaxed structure of CeSmB12, with properties calculated at the GGA-PBEsol level.

For the calculated formation energy, the calculation gives -6.9 eV per formula unit. Its density of states at the Fermi level is 0.3086 states/eV/atom.

Cell lengths 5.7868, 5.7868, 4.0909 Å; angles 90.00, 90.00, 90.00 degrees
Closest atoms and distances in Å follow each position.
Space group P4/mmm (No. 123)
Asymmetric unit:
1 Ce 0.0000 0.0000 0.0000 (multiplicity 1)  24 B 3.00-3.01
2 Sm 0.5000 0.5000 0.0000 (multiplicity 1)  24 B 3.01
3 B 0.0000 0.5000 0.1988 (multiplicity 4)  5 B 1.63-1.74
4 B 0.1501 0.3487 0.5000 (multiplicity 8)  5 B 1.63-1.75